Tb5Nd5Mg2 | GGA-PBE | optimized geometry Values from VASP.

Structure (Quantum ESPRESSO input):
```
&SYSTEM
  ibrav = 0, nat = 12, ntyp = 3
/
ATOMIC_SPECIES
Nd 144.24 Nd.upf
Tb 158.93 Tb.upf
Mg 24.30 Mg.upf
ATOMIC_POSITIONS crystal
Nd 0.749 0.259 0.244
Nd 0.251 0.741 0.756
Nd 0.080 0.255 0.584
Tb 0.414 0.259 0.913
Tb 0.333 0.998 0.335
Tb 0.667 0.002 0.665
Mg 0.832 0.499 0.837
Tb 0.500 0.500 0.500
Nd 0.000 0.000 0.000
Tb 0.586 0.741 0.087
Nd 0.920 0.745 0.416
Mg 0.168 0.501 0.163
CELL_PARAMETERS angstrom
4.885 0.000 1.381
1.927 10.079 2.516
0.377 0.493 7.997
```

Properties
Calculated formation energy = 0.011 eV/atom
Final energy = -50.0 eV for the cell shown